Ba2MnAl2CuF14 | PBE with a Hubbard U | relaxed

Cell lengths 13.9531, 5.2596, 14.5819 Å; angles 90.00, 92.04, 90.00 degrees
Space group C2/c (No. 15)
Unique sites:
1 Ba 0.1877 0.0662 0.1219
2 Mn 0.0000 0.4235 0.7500
3 Al 0.1191 0.0194 0.3735
4 Cu 0.0000 0.5000 0.0000
5 F 0.0017 0.0799 0.6554
6 F 0.0577 0.4537 0.1197
7 F 0.0826 0.2040 0.4745
8 F 0.1119 0.2893 0.2947
9 F 0.1359 0.2551 0.9520
10 F 0.1584 0.1919 0.7797
11 F 0.2431 0.0946 0.4012

Calculated values
energy = -456.069 eV for the cell shown
ρ = 4.4 Mg/m³